No. 1
VASP calculation (PBE) on Ta5Ga3 after structural relaxation.

Output
uncorrected energy = -8.8006 eV/atom
E above lowest polymorph = 0 meV/atom
formation energy from the elements = -0.26 eV/atom

Cell and atoms, written as POSCAR:
```
Ta5Ga3
1.0
-5.135 5.135 2.568
5.135 -5.135 2.568
5.135 5.135 -2.568
Ta Ga
10 6
Cartesian
7.987 0.773 0.000 Ta
0.773 2.284 0.000 Ta
5.135 0.000 1.284 Ta
5.908 2.851 0.000 Ta
2.851 4.362 0.000 Ta
2.284 0.773 2.568 Ta
-0.773 2.284 2.568 Ta
0.000 5.135 1.284 Ta
4.362 2.851 2.568 Ta
-2.851 4.362 2.568 Ta
3.432 1.703 0.000 Ga
0.000 0.000 1.284 Ga
3.432 -1.703 2.568 Ga
1.703 6.838 0.000 Ga
0.000 0.000 3.853 Ga
1.703 3.432 2.568 Ga
```

=====

No. 2
VASP calculation (PBE) on AcHoRh after structural relaxation.

Output
uncorrected energy = -5.8991 eV/atom
E above lowest polymorph = 22 meV/atom
formation energy from the elements = -0.55 eV/atom

Cell and atoms, written as POSCAR:
```
AcHoRh
1.0
8.155 0.000 0.000
0.000 6.345 0.000
-3.344 0.000 7.286
Ac Ho Rh
4 4 4
Cartesian
-0.075 0.796 2.818 Ac
-1.747 2.377 6.461 Ac
6.558 3.969 0.825 Ac
4.886 5.549 4.468 Ac
1.246 4.112 4.615 Ho
2.918 5.406 0.972 Ho
1.893 0.939 6.314 Ho
3.565 2.234 2.671 Ho
1.148 3.435 1.934 Rh
-0.524 6.083 5.577 Rh
5.335 0.262 1.709 Rh
3.663 2.910 5.352 Rh
```

=====

No. 3
VASP calculation (PBE) on Cd3In6Hg2 after structural relaxation.

Output
uncorrected energy = -1.7521 eV/atom
E above lowest polymorph = 18 meV/atom
formation energy from the elements = 0.05 eV/atom

Cell and atoms, written as POSCAR:
```
Cd3In6Hg2
1.0
2.476 1.429 13.697
-2.476 1.429 13.697
0.000 -2.859 13.697
Cd In Hg
3 6 2
Cartesian
0.000 0.000 0.000 Cd
0.000 0.000 11.322 Cd
0.000 0.000 29.770 Cd
0.000 0.000 3.638 In
0.000 0.000 7.595 In
0.000 0.000 14.908 In
0.000 0.000 26.183 In
0.000 0.000 33.497 In
0.000 0.000 37.454 In
0.000 0.000 18.611 Hg
0.000 0.000 22.481 Hg
```

=====

No. 4
VASP calculation (PBE) on Hg3P after structural relaxation.

Output
uncorrected energy = -1.3854 eV/atom
E above lowest polymorph = 115 meV/atom
formation energy from the elements = 0.19 eV/atom

Cell and atoms, written as POSCAR:
```
Hg3P
1.0
7.287 0.000 0.000
0.000 8.401 0.000
0.000 0.000 8.356
Hg P
12 4
Cartesian
7.284 2.100 2.092 Hg
0.002 6.300 6.264 Hg
1.824 0.636 4.517 Hg
1.824 3.564 4.517 Hg
1.819 4.836 0.338 Hg
1.819 7.765 0.338 Hg
3.641 2.100 2.086 Hg
3.646 6.300 6.271 Hg
5.468 0.636 8.018 Hg
5.468 3.564 8.018 Hg
5.462 4.836 3.840 Hg
5.462 7.765 3.840 Hg
1.816 2.100 0.422 P
1.827 6.300 4.601 P
5.460 2.100 3.756 P
5.471 6.300 7.934 P
```